No. 1
Computed, not measured: a relaxed Cs2NaAg2F7 crystal at the PBE-GGA level of DFT.

Calculated values
The calculation puts the density of states at the Fermi level at 0.250 states/eV/atom. Its symmetry is No. 139. For the total energy, the calculation gives -45.1 eV per cell. The uncorrected formation energy is -23.280 eV per formula unit.

Cell: 11.970 11.970 11.970 Å, 158.48 158.48 30.63°
Positions (direct):
Cs1 0.181 0.181 0.000
Cs2 0.819 0.819 0.000
Na1 0.000 0.000 0.000
Ag1 0.408 0.408 0.000
Ag2 0.592 0.592 0.000
F1 0.085 0.585 0.500
F2 0.312 0.312 0.000
F3 0.415 0.915 0.500
F4 0.500 0.500 0.000
F5 0.585 0.085 0.500
F6 0.688 0.688 0.000
F7 0.915 0.415 0.500

***

No. 2
Computed, not measured: a relaxed CsNaAgF6 crystal at the PBE-GGA level of DFT.

Calculated values
The calculation puts the density of states at the Fermi level at 0.113 states/eV/atom. Its symmetry is No. 1. For the total energy, the calculation gives -32.4 eV per cell. The uncorrected formation energy is -16.123 eV per formula unit.

Cell: 5.808 5.821 6.335 Å, 90.38 90.51 117.69°
Positions (direct):
Cs1 0.000 0.000 0.000
Na1 0.325 0.676 0.500
Ag1 0.667 0.333 0.500
F1 0.389 0.343 0.328
F2 0.397 0.031 0.701
F3 0.651 0.043 0.327
F4 0.656 0.609 0.674
F5 0.959 0.349 0.673
F6 0.968 0.604 0.300

***

No. 3
Computed, not measured: a relaxed CsNaAgF3 crystal at the PBE-GGA level of DFT.

Calculated values
The calculation puts the density of states at the Fermi level at 0.000 states/eV/atom. Its symmetry is No. 12. For the total energy, the calculation gives -45.8 eV per cell. The uncorrected formation energy is -12.263 eV per formula unit.

Cell: 6.691 6.691 6.732 Å, 111.12 111.12 65.65°
Positions (direct):
Cs1 0.200 0.200 0.155
Cs2 0.800 0.800 0.845
Na1 0.393 0.393 0.826
Na2 0.607 0.607 0.174
Ag1 0.213 0.787 0.500
Ag2 0.787 0.213 0.500
F1 0.191 0.191 0.587
F2 0.242 0.643 0.152
F3 0.357 0.758 0.848
F4 0.643 0.242 0.152
F5 0.758 0.357 0.848
F6 0.809 0.809 0.413